Density functional theory data (GGA-PBE) for crystalline BaHo2Sc at its relaxed geometry.

Unit cell a=3.533 b=3.533 c=12.631 alpha=81.96 beta=81.96 gamma=60.00
Fractional coordinates of all 4 atoms:
1 Ho 0.904 0.904 0.289
2 Ho 0.096 0.096 0.711
3 Sc 0.500 0.500 0.500
4 Ba 0.000 0.000 0.000

Magnetic moment, Bohr magnetons per cell: 0.1
Energy of formation from the pure elements, eV/atom: 0.256
DOS(E_F), states/eV/f.u.: 5.4
Calculated volume, Å³/cell: 134.8
Polymorph energy (0 for the lowest one), meV/atom: 94